Crystalline SnBiPt3 at its relaxed geometry. Source: the Alexandria database, functional PBE-GGA.

Results
Energy relative to the lowest polymorph listed for this composition (kcal/mol of atoms): 5.75

```
data_SnBiPt3
_space_group_name_H-M_alt 'P m -3 m'
_space_group_IT_number 221
_space_group_name_Hall '-P 4 2 3'
_cell_length_a 5.1021
_cell_length_b 5.1021
_cell_length_c 5.1021
_cell_angle_alpha 90.00
_cell_angle_beta 90.00
_cell_angle_gamma 90.00
loop_
_atom_site_label
_atom_site_fract_x
_atom_site_fract_y
_atom_site_fract_z
Sn1 0.0000 0.0000 0.0000
Bi1 0.5000 0.5000 0.5000
Pt1 0.0000 0.5000 0.5000
```